# 1
First-principles (PBE) data for Ac4Co2Cl after structural relaxation, as listed in the Alexandria database.

abc: 4.2225 4.2225 14.9853
angles: 81.90 81.90 60.00
Fractional positions:
Ac (0.1240, 0.1240, 0.6281)
Ac (0.2791, 0.2791, 0.1626)
Ac (0.7209, 0.7209, 0.8374)
Ac (0.8760, 0.8760, 0.3719)
Co (0.4232, 0.4232, 0.7303)
Co (0.5768, 0.5768, 0.2697)
Cl (0.0000, 0.0000, 0.0000)

Computed properties:
Theoretical density in g cm⁻³: 7.719
VASP energy in eV for the cell shown: -35.97
Space group: R-3m, No. 166
M_tot in Bohr magnetons per cell: 0.00


# 2
First-principles (PBE) data for Ac2CoCl2 after structural relaxation, as listed in the Alexandria database.

abc: 4.2250 4.2250 10.9608
angles: 78.89 78.89 60.00
Fractional positions:
Ac (0.3866, 0.3866, 0.8403)
Ac (0.6134, 0.6134, 0.1597)
Co (0.0000, 0.0000, 0.0000)
Cl (0.8880, 0.8880, 0.3361)
Cl (0.1120, 0.1120, 0.6639)

Computed properties:
Theoretical density in g cm⁻³: 5.869
VASP energy in eV for the cell shown: -24.62
Space group: R-3m, No. 166
M_tot in Bohr magnetons per cell: 0.00


# 3
First-principles (PBE) data for AcCoCl after structural relaxation, as listed in the Alexandria database.

abc: 4.1607 4.1602 11.6624
angles: 78.90 79.72 60.00
Each line ends with the local moment (μB).
Fractional positions:
Ac (0.0483, 0.7200, 0.1834)  -0.03
Ac (0.1572, 0.8575, 0.8281)  -0.03
Co (0.4360, 0.1222, 0.0058)  0.33
Co (0.7693, 0.4556, 0.0058)  0.29
Cl (0.5416, 0.2548, 0.6620)  0.00
Cl (0.3309, 0.9888, 0.3495)  0.00

Computed properties:
Theoretical density in g cm⁻³: 6.251
VASP energy in eV for the cell shown: -32.65
Space group: Cm, No. 8
M_tot in Bohr magnetons per cell: 0.43


# 4
First-principles (PBE) data for Ac6Co2Cl after structural relaxation, as listed in the Alexandria database.

abc: 4.2326 8.0428 10.3078
angles: 103.93 90.00 105.25
Fractional positions:
Ac (0.3011, 0.6022, 0.8688)
Ac (0.6989, 0.3978, 0.1312)
Ac (0.9607, 0.9214, 0.1883)
Ac (0.6592, 0.3184, 0.5597)
Ac (0.0393, 0.0786, 0.8117)
Ac (0.3408, 0.6816, 0.4403)
Co (0.6635, 0.3270, 0.8324)
Co (0.3364, 0.6730, 0.1676)
Cl (0.0000, 0.0000, 0.5000)

Computed properties:
Theoretical density in g cm⁻³: 7.675
VASP energy in eV for the cell shown: -43.55
Space group: C2/m, No. 12
M_tot in Bohr magnetons per cell: 0.00


# 5
First-principles (PBE) data for Ac7Co3Cl after structural relaxation, as listed in the Alexandria database.

abc: 7.0469 7.3711 7.3711
angles: 95.81 101.86 101.86
Fractional positions:
Ac (0.2325, 0.1551, 0.1551)
Ac (0.2617, 0.0362, 0.6420)
Ac (0.7383, 0.3580, 0.9638)
Ac (0.2617, 0.6420, 0.0362)
Ac (0.0000, 0.5000, 0.5000)
Ac (0.7383, 0.9638, 0.3580)
Ac (0.7675, 0.8449, 0.8449)
Co (0.0000, 0.7729, 0.2271)
Co (0.5000, 0.0000, 0.0000)
Co (0.0000, 0.2271, 0.7729)
Cl (0.5000, 0.5000, 0.5000)

Computed properties:
Theoretical density in g cm⁻³: 8.250
VASP energy in eV for the cell shown: -53.93
Space group: C2/m, No. 12
M_tot in Bohr magnetons per cell: 0.00


# 6
First-principles (PBE) data for CsAcCoCl6 after structural relaxation, as listed in the Alexandria database.

abc: 7.0573 7.0247 7.7298
angles: 90.09 90.04 60.15
Each line ends with the local moment (μB).
Fractional positions:
Cs (0.9993, 0.0003, 0.0000)  0.00
Ac (0.3317, 0.3341, 0.5000)  0.00
Co (0.6666, 0.6667, 0.5000)  2.53
Cl (0.9566, 0.3970, 0.3046)  0.05
Cl (0.3922, 0.9554, 0.6923)  0.05
Cl (0.6523, 0.3907, 0.6913)  0.05
Cl (0.9566, 0.6464, 0.6953)  0.05
Cl (0.3922, 0.6524, 0.3077)  0.05
Cl (0.6524, 0.9569, 0.3087)  0.05

Computed properties:
Theoretical density in g cm⁻³: 3.155
VASP energy in eV for the cell shown: -38.30
Space group: C2, No. 5
M_tot in Bohr magnetons per cell: 3.00


# 7
First-principles (PBE) data for Ac6Co2CuCl3 after structural relaxation, as listed in the Alexandria database.

abc: 4.2842 9.3735 10.2653
angles: 109.70 102.04 90.00
Fractional positions:
Ac (0.3379, 0.8800, 0.6758)
Ac (0.6800, 0.5527, 0.3599)
Ac (0.6621, 0.1200, 0.3242)
Ac (0.0155, 0.2371, 0.0309)
Ac (0.9845, 0.7629, 0.9691)
Ac (0.3200, 0.4473, 0.6401)
Co (0.8341, 0.6677, 0.6682)
Co (0.1659, 0.3323, 0.3318)
Cu (0.5000, 0.0000, 0.0000)
Cl (0.5000, 0.5000, 0.0000)
Cl (0.8333, 0.1622, 0.6666)
Cl (0.1667, 0.8378, 0.3334)

Computed properties:
Theoretical density in g cm⁻³: 7.239
VASP energy in eV for the cell shown: -58.49
Space group: C2/m, No. 12
M_tot in Bohr magnetons per cell: 0.00


# 8
First-principles (PBE) data for Ac8GaCo3Cl4 after structural relaxation, as listed in the Alexandria database.

abc: 8.6720 9.3063 8.6715
angles: 117.80 120.00 90.00
Fractional positions:
Ac (0.2432, 0.7000, 0.9570)
Ac (0.2432, 0.6998, 0.4864)
Ac (0.2642, 0.2927, 0.5284)
Ac (0.7138, 0.7000, 0.9570)
Ac (0.2862, 0.3000, 0.0430)
Ac (0.7358, 0.7073, 0.4716)
Ac (0.7568, 0.3002, 0.5136)
Ac (0.7568, 0.3000, 0.0430)
Ga (0.0000, 0.5000, 0.0000)
Co (0.5000, 0.5000, 0.0000)
Co (0.5000, 0.5000, 0.5000)
Co (0.0000, 0.5000, 0.5000)
Cl (0.5000, 0.0000, 0.0000)
Cl (0.5000, 0.0000, 0.5000)
Cl (0.0000, 0.0000, 0.0000)
Cl (0.0000, 0.0000, 0.5000)

Computed properties:
Theoretical density in g cm⁻³: 7.168
VASP energy in eV for the cell shown: -78.13
Space group: R-3m, No. 166
M_tot in Bohr magnetons per cell: 0.00


# 9
First-principles (PBE) data for Ac6Co2GeCl3 after structural relaxation, as listed in the Alexandria database.

abc: 4.3146 9.4109 10.1285
angles: 107.35 102.30 90.00
Fractional positions:
Ac (0.3342, 0.8739, 0.6683)
Ac (0.6790, 0.5548, 0.3579)
Ac (0.6658, 0.1261, 0.3317)
Ac (0.0183, 0.2466, 0.0366)
Ac (0.9817, 0.7534, 0.9634)
Ac (0.3210, 0.4452, 0.6421)
Co (0.8303, 0.6598, 0.6605)
Co (0.1697, 0.3402, 0.3395)
Ge (0.5000, 0.0000, 0.0000)
Cl (0.5000, 0.5000, 0.0000)
Cl (0.8408, 0.1576, 0.6816)
Cl (0.1592, 0.8424, 0.3184)

Computed properties:
Theoretical density in g cm⁻³: 7.199
VASP energy in eV for the cell shown: -60.55
Space group: C2/m, No. 12
M_tot in Bohr magnetons per cell: 0.00


# 10
First-principles (PBE) data for Ac4CoGeCl2 after structural relaxation, as listed in the Alexandria database.

abc: 4.3327 7.8846 7.9232
angles: 106.98 90.00 90.00
Fractional positions:
Ac (0.5000, 0.2587, 0.2126)
Ac (0.5000, 0.7413, 0.7874)
Ac (0.0000, 0.2816, 0.7926)
Ac (0.0000, 0.7184, 0.2074)
Co (0.5000, 0.5000, 0.0000)
Ge (0.0000, 0.0000, 0.0000)
Cl (0.5000, 0.0000, 0.5000)
Cl (0.0000, 0.5000, 0.5000)

Computed properties:
Theoretical density in g cm⁻³: 7.123
VASP energy in eV for the cell shown: -39.76
Space group: P2/m, No. 10
M_tot in Bohr magnetons per cell: 0.00


# 11
First-principles (PBE) data for Ac8Co3HCl4 after structural relaxation, as listed in the Alexandria database.

abc: 8.3728 9.3212 8.3719
angles: 116.75 120.00 90.00
Fractional positions:
Ac (0.2351, 0.6994, 0.9646)
Ac (0.2355, 0.6998, 0.4709)
Ac (0.2682, 0.3048, 0.5363)
Ac (0.7295, 0.6994, 0.9646)
Ac (0.2705, 0.3006, 0.0354)
Ac (0.7318, 0.6952, 0.4637)
Ac (0.7645, 0.3002, 0.5291)
Ac (0.7649, 0.3006, 0.0354)
Co (0.5000, 0.5000, 0.0000)
Co (0.5000, 0.5000, 0.5000)
Co (0.0000, 0.5000, 0.5000)
H (0.0000, 0.5000, 0.0000)
Cl (0.5000, 0.0000, 0.0000)
Cl (0.5000, 0.0000, 0.5000)
Cl (0.0000, 0.0000, 0.0000)
Cl (0.0000, 0.0000, 0.5000)

Computed properties:
Theoretical density in g cm⁻³: 7.336
VASP energy in eV for the cell shown: -78.56
Space group: C2/m, No. 12
M_tot in Bohr magnetons per cell: 0.00


# 12
First-principles (PBE) data for Ac3CoHgCl after structural relaxation, as listed in the Alexandria database.

abc: 4.4030 9.0004 9.9512
angles: 98.71 90.00 90.00
Fractional positions:
Ac (0.2500, 0.7066, 0.4435)
Ac (0.7500, 0.8640, 0.1108)
Ac (0.7500, 0.4430, 0.1521)
Ac (0.7500, 0.2934, 0.5565)
Ac (0.2500, 0.5570, 0.8479)
Ac (0.2500, 0.1360, 0.8892)
Co (0.2500, 0.6568, 0.1414)
Co (0.7500, 0.3432, 0.8586)
Hg (0.7500, 0.8021, 0.7444)
Hg (0.2500, 0.1979, 0.2556)
Cl (0.2500, 0.0722, 0.5967)
Cl (0.7500, 0.9278, 0.4033)

Computed properties:
Theoretical density in g cm⁻³: 8.315
VASP energy in eV for the cell shown: -50.19
Space group: P2_1/m, No. 11
M_tot in Bohr magnetons per cell: 0.00


# 13
First-principles (PBE) data for Ac8Co3I3Cl after structural relaxation, as listed in the Alexandria database.

abc: 8.7767 8.7772 9.7209
angles: 116.86 90.00 120.00
Fractional positions:
Ac (0.2722, 0.5444, 0.3178)
Ac (0.7278, 0.4556, 0.6822)
Ac (0.7532, 0.5065, 0.3042)
Ac (0.2468, 0.4935, 0.6958)
Ac (0.7531, 0.0508, 0.3048)
Ac (0.2469, 0.9492, 0.6952)
Ac (0.2977, 0.0508, 0.3048)
Ac (0.7023, 0.9492, 0.6952)
Co (0.5000, 0.0000, 0.5000)
Co (0.5000, 0.5000, 0.5000)
Co (0.0000, 0.5000, 0.5000)
I (0.0000, 0.0000, 0.0000)
I (0.0000, 0.5000, 0.0000)
I (0.5000, 0.5000, 0.0000)
Cl (0.0000, 0.0000, 0.5000)

Computed properties:
Theoretical density in g cm⁻³: 7.230
VASP energy in eV for the cell shown: -70.02
Space group: C2/m, No. 12
M_tot in Bohr magnetons per cell: 0.00


# 14
First-principles (PBE) data for Ac6Co2I3Cl after structural relaxation, as listed in the Alexandria database.

abc: 7.6292 7.6292 8.9099
angles: 98.19 98.19 119.94
Fractional positions:
Ac (0.9374, 0.5714, 0.8140)
Ac (0.6960, 0.6960, 0.1847)
Ac (0.0626, 0.4286, 0.1860)
Ac (0.5714, 0.9374, 0.8140)
Ac (0.3040, 0.3040, 0.8153)
Ac (0.4286, 0.0626, 0.1860)
Co (0.3332, 0.6668, 0.0000)
Co (0.6668, 0.3332, 0.0000)
I (0.1621, 0.8379, 0.5000)
I (0.8379, 0.1621, 0.5000)
I (0.5000, 0.5000, 0.5000)
Cl (0.0000, 0.0000, 0.0000)

Computed properties:
Theoretical density in g cm⁻³: 7.309
VASP energy in eV for the cell shown: -55.42
Space group: C2/m, No. 12
M_tot in Bohr magnetons per cell: 0.00


# 15
First-principles (PBE) data for Ac6Co2ICl3 after structural relaxation, as listed in the Alexandria database.

abc: 4.1979 10.1883 10.0316
angles: 96.89 102.08 90.00
Fractional positions:
Ac (0.2950, 0.8318, 0.5900)
Ac (0.6697, 0.5356, 0.3394)
Ac (0.7050, 0.1682, 0.4100)
Ac (0.0343, 0.2723, 0.0686)
Ac (0.9657, 0.7277, 0.9314)
Ac (0.3303, 0.4644, 0.6606)
Co (0.8192, 0.6642, 0.6383)
Co (0.1808, 0.3358, 0.3617)
I (0.5000, 0.0000, 0.0000)
Cl (0.5000, 0.5000, 0.0000)
Cl (0.8719, 0.2418, 0.7437)
Cl (0.1281, 0.7582, 0.2563)

Computed properties:
Theoretical density in g cm⁻³: 6.832
VASP energy in eV for the cell shown: -57.15
Space group: C2/m, No. 12
M_tot in Bohr magnetons per cell: 0.00


# 16
First-principles (PBE) data for Ac4CoIrCl2 after structural relaxation, as listed in the Alexandria database.

abc: 4.2740 7.4043 8.3290
angles: 106.84 90.00 90.00
Fractional positions:
Ac (0.5000, 0.2372, 0.2019)
Ac (0.5000, 0.7628, 0.7981)
Ac (0.0000, 0.2733, 0.8009)
Ac (0.0000, 0.7267, 0.1991)
Co (0.5000, 0.5000, 0.0000)
Ir (0.0000, 0.0000, 0.0000)
Cl (0.5000, 0.0000, 0.5000)
Cl (0.0000, 0.5000, 0.5000)

Computed properties:
Theoretical density in g cm⁻³: 8.097
VASP energy in eV for the cell shown: -44.62
Space group: P2/m, No. 10
M_tot in Bohr magnetons per cell: 0.00


# 17
First-principles (PBE) data for Ac6Co2IrCl3 after structural relaxation, as listed in the Alexandria database.

abc: 4.2452 9.3710 10.2791
angles: 110.39 101.92 90.00
Fractional positions:
Ac (0.3417, 0.8838, 0.6833)
Ac (0.6789, 0.5544, 0.3577)
Ac (0.6583, 0.1162, 0.3167)
Ac (0.0128, 0.2278, 0.0256)
Ac (0.9872, 0.7722, 0.9744)
Ac (0.3211, 0.4456, 0.6423)
Co (0.8321, 0.6643, 0.6642)
Co (0.1679, 0.3357, 0.3358)
Ir (0.5000, 0.0000, 0.0000)
Cl (0.5000, 0.5000, 0.0000)
Cl (0.8325, 0.1663, 0.6650)
Cl (0.1675, 0.8337, 0.3350)

Computed properties:
Theoretical density in g cm⁻³: 7.899
VASP energy in eV for the cell shown: -65.23
Space group: C2/m, No. 12
M_tot in Bohr magnetons per cell: 0.00


# 18
First-principles (PBE) data for Ac8Co3IrCl4 after structural relaxation, as listed in the Alexandria database.

abc: 8.4771 9.3533 8.4769
angles: 116.95 120.00 90.00
Fractional positions:
Ac (0.2359, 0.7001, 0.9641)
Ac (0.2359, 0.7001, 0.4719)
Ac (0.2674, 0.3024, 0.5349)
Ac (0.7282, 0.7001, 0.9641)
Ac (0.2718, 0.2999, 0.0359)
Ac (0.7326, 0.6976, 0.4651)
Ac (0.7641, 0.2999, 0.5281)
Ac (0.7641, 0.2999, 0.0359)
Co (0.5000, 0.5000, 0.0000)
Co (0.5000, 0.5000, 0.5000)
Co (0.0000, 0.5000, 0.5000)
Ir (0.0000, 0.5000, 0.0000)
Cl (0.5000, 0.0000, 0.0000)
Cl (0.5000, 0.0000, 0.5000)
Cl (0.0000, 0.0000, 0.0000)
Cl (0.0000, 0.0000, 0.5000)

Computed properties:
Theoretical density in g cm⁻³: 7.789
VASP energy in eV for the cell shown: -85.78
Space group: R-3m, No. 166
M_tot in Bohr magnetons per cell: 0.00


# 19
First-principles (PBE) data for Ac6CoIr2Cl2 after structural relaxation, as listed in the Alexandria database.

abc: 7.5178 7.5178 8.0793
angles: 98.79 98.79 120.13
Fractional positions:
Ac (0.7393, 0.7393, 0.7042)
Ac (0.0691, 0.3950, 0.7054)
Ac (0.2607, 0.2607, 0.2958)
Ac (0.3950, 0.0691, 0.7054)
Ac (0.9309, 0.6050, 0.2946)
Ac (0.6050, 0.9309, 0.2946)
Co (0.0000, 0.0000, 0.5000)
Ir (0.3306, 0.6694, 0.5000)
Ir (0.6694, 0.3306, 0.5000)
Cl (0.8357, 0.1643, 0.0000)
Cl (0.1643, 0.8357, 0.0000)

Computed properties:
Theoretical density in g cm⁻³: 8.287
VASP energy in eV for the cell shown: -63.26
Space group: C2/m, No. 12
M_tot in Bohr magnetons per cell: 0.00


# 20
First-principles (PBE) data for Ac8CoIr3Cl3 after structural relaxation, as listed in the Alexandria database.

abc: 8.6639 8.6682 9.2760
angles: 117.76 90.00 119.98
Fractional positions:
Ac (0.2649, 0.5297, 0.2950)
Ac (0.7351, 0.4703, 0.7050)
Ac (0.7686, 0.5371, 0.2979)
Ac (0.2314, 0.4629, 0.7021)
Ac (0.7688, 0.0290, 0.2981)
Ac (0.2312, 0.9710, 0.7019)
Ac (0.2602, 0.0290, 0.2981)
Ac (0.7398, 0.9710, 0.7019)
Co (0.0000, 0.0000, 0.5000)
Ir (0.5000, 0.0000, 0.5000)
Ir (0.5000, 0.5000, 0.5000)
Ir (0.0000, 0.5000, 0.5000)
Cl (0.0000, 0.0000, 0.0000)
Cl (0.0000, 0.5000, 0.0000)
Cl (0.5000, 0.5000, 0.0000)

Computed properties:
Theoretical density in g cm⁻³: 8.349
VASP energy in eV for the cell shown: -87.38
Space group: C2/m, No. 12
M_tot in Bohr magnetons per cell: 0.22